First-principles (PBE with a Hubbard U) data for an optimized crystal structure of RbNiI2O, as listed in Alexandria via LeMat-Bulk.

**Energy**: -14.16 eV/cell
**Polymorph energy (0 for the lowest one)**: 0 meV/atom

Geometry as CIF:
```
data_RbNiI2O
_chemical_formula_sum 'Rb1 Ni1 I2 O1'
_symmetry_space_group_name_H-M 'P 1'
_symmetry_Int_Tables_number 1
_cell_length_a 6.4560
_cell_length_b 6.4560
_cell_length_c 3.5662
_cell_angle_alpha 90.00
_cell_angle_beta 90.00
_cell_angle_gamma 90.00
loop_
_symmetry_equiv_pos_as_xyz
'x,y,z'
loop_
_atom_site_label
_atom_site_fract_x
_atom_site_fract_y
_atom_site_fract_z
_atom_site_occupancy
I1 0.5000 0.0000 0.0000 1
I2 0.0000 0.5000 0.0000 1
Ni1 0.0000 0.0000 0.0000 1
O1 0.0000 0.0000 0.5000 1
Rb1 0.5000 0.5000 0.5000 1
```